8
Lattice="5.999 0.000 0.000 0.000 3.504 0.000 -1.995 0.000 6.234" Properties=species:S:1:pos:R:3 comment="K2CaPbO4 | Alexandria via LeMat-Bulk | GGA-PBE | relaxed" raw_formation_energy_ev_per_atom=-1.6858 final_energy_ev_per_atom=-5.153 vol_a3_per_atom=16.378 pbc="T T T"
K 0.000 0.000 0.000
K 2.999 1.752 0.000
Ca -0.997 1.752 3.117
Pb 2.002 0.000 3.117
O 0.144 0.000 4.286
O 1.064 1.752 1.885
O 2.940 1.752 4.349
O 3.860 0.000 1.947